# 1
MnBeCo (GGA-PBEsol, relaxed); ΔE_f = 0.353 eV/atom; density of states at the Fermi level = 0.7293 states/eV/atom; uncorrected energy = -20.44 eV per cell; theoretical density = 6.223 g/cm3
1.0
-1.3967 2.3102 -2.3704
1.2056 0.0502 -3.3839
-2.0841 -1.2035 -2.6675
Mn Be Co
1 1 1
direct
0.5000 0.5000 0.5000
0.2500 0.2500 0.2500
0.0000 0.0000 0.0000

***

# 2
GaPO2 (GGA-PBEsol, relaxed); formation energy without anion corrections = -1.20 eV per atom; density of states at the Fermi level = 0.1509 states/eV/atom; uncorrected energy = -24.45 eV per cell; theoretical density = 4.899 g/cm3
1.0
-1.6037 -0.8974 -2.2758
0.6473 -2.5163 -1.3438
-4.0219 -4.1100 2.5749
O P Ga
2 1 1
direct
0.8906 0.8906 0.3281
0.1094 0.1094 0.6719
0.0000 0.0000 0.0000
0.5000 0.5000 0.5000

***

# 3
NaCN2O (GGA-PBEsol, relaxed); formation energy without anion corrections = 1.38 eV per atom; density of states at the Fermi level = 0.6440 states/eV/atom; uncorrected energy = -26.44 eV per cell; theoretical density = 2.418 g/cm3
1.0
-0.7831 -1.8008 2.2244
-1.8924 -1.4042 -1.8031
4.4590 -3.9347 -1.6156
O Na N C
1 1 2 1
direct
0.0000 0.0000 0.5000
0.5000 0.5000 0.5000
0.5000 0.0000 0.0000
0.0000 0.5000 0.0000
0.0000 0.0000 0.0000

***

# 4
KCdAu4 (GGA-PBEsol, relaxed); ΔE_f = -0.161 eV/atom; density of states at the Fermi level = 0.2056 states/eV/atom; uncorrected energy = -18.99 eV per cell; theoretical density = 12.907 g/cm3
1.0
5.5496 0.0000 0.0000
2.7748 4.8061 0.0000
2.7748 1.6020 4.5312
K Au Cd
1 4 1
direct
0.0000 0.0000 0.0000
0.3753 0.3753 0.3753
0.3753 0.8740 0.3753
0.3753 0.3753 0.8740
0.8740 0.3753 0.3753
0.7500 0.7500 0.7500

***

# 5
Cr2C (GGA-PBEsol, relaxed); ΔE_f = -0.119 eV/atom; density of states at the Fermi level = 0.9566 states/eV/atom; uncorrected energy = -121.94 eV per cell; theoretical density = 7.283 g/cm3
1.0
-1.4981 -1.3123 1.8905
4.6329 -2.1569 2.1739
0.5572 5.4660 4.2359
C Cr
4 8
direct
0.7500 0.6991 0.1696
0.2500 0.3009 0.8304
0.2500 0.8009 0.6696
0.7500 0.1991 0.3304
0.2500 0.6657 0.9537
0.7500 0.0089 0.8196
0.7500 0.3343 0.0463
0.7500 0.5089 0.6804
0.2500 0.1657 0.5463
0.2500 0.4911 0.3196
0.2500 0.9911 0.1804
0.7500 0.8343 0.4537

***

# 6
ReRu3Br (GGA-PBEsol, relaxed); formation energy without anion corrections = 2.13 eV per atom; density of states at the Fermi level = 1.2553 states/eV/atom; uncorrected energy = -35.09 eV per cell; theoretical density = 11.049 g/cm3
1.0
-3.6484 -1.5932 1.8892
-0.8203 -2.3968 -3.6056
2.3312 -3.3369 1.6878
Br Re Ru
1 1 3
direct
0.0000 0.0000 0.0000
0.5000 0.5000 0.5000
0.5000 0.0000 0.0000
0.0000 0.0000 0.5000
0.0000 0.5000 0.0000

***

# 7
TcGe3W (GGA-PBEsol, relaxed); ΔE_f = 1.305 eV/atom; density of states at the Fermi level = 0.6182 states/eV/atom; uncorrected energy = -33.37 eV per cell; theoretical density = 7.527 g/cm3
1.0
-0.4111 4.4805 -1.6583
-4.4222 0.2731 1.8339
1.8080 1.6865 4.1085
Ge Tc W
3 1 1
direct
0.5000 0.0000 0.0000
0.0000 0.5000 0.0000
0.0000 0.0000 0.5000
0.5000 0.5000 0.5000
0.0000 0.0000 0.0000

***

# 8
La2Mn3Cu9As7 (GGA-PBEsol, relaxed); ΔE_f = -0.317 eV/atom; density of states at the Fermi level = 0.4517 states/eV/atom; uncorrected energy = -121.39 eV per cell; theoretical density = 7.846 g/cm3
1.0
3.9840 0.0000 0.0000
0.0000 9.7160 0.0000
0.0000 -4.8580 8.4143
Cu Mn La As
9 3 2 7
direct
0.5000 0.2502 0.2846
0.5000 0.0344 0.7498
0.5000 0.7154 0.9656
0.0000 0.3850 0.2068
0.0000 0.7932 0.1782
0.0000 0.0894 0.3863
0.0000 0.8218 0.6150
0.0000 0.6137 0.7031
0.0000 0.2969 0.9106
0.5000 0.8794 0.4267
0.5000 0.5473 0.1206
0.5000 0.5733 0.4527
0.5000 0.3333 0.6667
0.0000 0.0000 0.0000
0.5000 0.7760 0.7456
0.5000 0.2544 0.0304
0.5000 0.9696 0.2240
0.0000 0.5517 0.9218
0.0000 0.0782 0.6300
0.0000 0.6667 0.3333
0.0000 0.3700 0.4483